Compound: GdMgZn
Source: OQMD via LeMat-Bulk
Functional: PBE
Structure: relaxed

Results
* calculated total energy: -2.608 eV per atom
* crystal system: triclinic
* total magnetization: 0.00 μB/f.u.
* symmetry: P1

Geometry as CIF:
```
data_GdMgZn
_chemical_formula_sum 'Gd4 Mg4 Zn4'
_space_group_name_H-M_alt 'P 1'
_space_group_IT_number 1
_space_group_name_Hall 'P 1'
_cell_length_a 6.393
_cell_length_b 6.521
_cell_length_c 7.678
_cell_angle_alpha 91.22
_cell_angle_beta 90.81
_cell_angle_gamma 118.33
loop_
_atom_site_label
_atom_site_fract_x
_atom_site_fract_y
_atom_site_fract_z
Gd1 0.000 0.000 0.000
Gd2 0.088 0.530 0.935
Gd3 0.454 0.059 0.710
Gd4 0.738 0.356 0.358
Mg1 0.200 0.843 0.340
Mg2 0.234 0.356 0.331
Mg3 0.558 0.489 0.003
Mg4 0.695 0.843 0.370
Zn1 0.440 0.540 0.656
Zn2 0.523 0.995 0.072
Zn3 0.898 0.714 0.659
Zn4 0.983 0.175 0.634
```



Compound: Li3TaS4
Source: OQMD via LeMat-Bulk
Functional: PBE
Structure: relaxed

Results
* calculated total energy: -5.454 eV per atom
* crystal system: orthorhombic
* total magnetization: 0.00 μB/f.u.
* symmetry: Pmn2_1

Geometry as CIF:
```
data_Li3TaS4
_chemical_formula_sum 'Li6 Ta2 S8'
_space_group_name_H-M_alt 'P 1'
_space_group_IT_number 1
_space_group_name_Hall 'P 1'
_cell_length_a 7.925
_cell_length_b 6.879
_cell_length_c 6.363
_cell_angle_alpha 90.00
_cell_angle_beta 90.00
_cell_angle_gamma 90.00
loop_
_atom_site_label
_atom_site_fract_x
_atom_site_fract_y
_atom_site_fract_z
Li1 0.000 0.156 0.000
Li2 0.247 0.329 0.497
Li3 0.253 0.671 0.997
Li4 0.500 0.844 0.500
Li5 0.747 0.671 0.997
Li6 0.753 0.329 0.497
Ta1 0.000 0.827 0.494
Ta2 0.500 0.173 0.994
S1 0.000 0.142 0.610
S2 0.000 0.824 0.136
S3 0.238 0.671 0.609
S4 0.262 0.329 0.109
S5 0.500 0.176 0.636
S6 0.500 0.858 0.110
S7 0.738 0.329 0.109
S8 0.762 0.671 0.609
```



Compound: SmDyZn2Pb2
Source: OQMD via LeMat-Bulk
Functional: PBE
Structure: relaxed

Results
* calculated total energy: -3.635 eV per atom
* crystal system: hexagonal
* total magnetization: 0.01 μB/f.u.
* symmetry: P6_3/mmc

Geometry as CIF:
```
data_SmDyZn2Pb2
_chemical_formula_sum 'Sm2 Dy2 Zn4 Pb4'
_space_group_name_H-M_alt 'P 1'
_space_group_IT_number 1
_space_group_name_Hall 'P 1'
_cell_length_a 4.621
_cell_length_b 4.621
_cell_length_c 16.158
_cell_angle_alpha 90.00
_cell_angle_beta 90.00
_cell_angle_gamma 120.00
loop_
_atom_site_label
_atom_site_fract_x
_atom_site_fract_y
_atom_site_fract_z
Sm1 0.000 0.000 0.250
Sm2 0.000 0.000 0.750
Dy1 0.000 0.000 0.000
Dy2 0.000 0.000 0.500
Zn1 0.333 0.667 0.163
Zn2 0.333 0.667 0.337
Zn3 0.667 0.333 0.663
Zn4 0.667 0.333 0.837
Pb1 0.333 0.667 0.609
Pb2 0.333 0.667 0.891
Pb3 0.667 0.333 0.109
Pb4 0.667 0.333 0.391
```



- What is the formula in the third record?
  SmDyZn2Pb2



- The lowest calculated total energy belongs to which entry?
  Li3TaS4